Here is YZrPt after structural relaxation from Alexandria. Energies are from PBE.

* relative energy among the computed polymorphs: 237 meV/atom
* crystal system: cubic
* symmetry: No. 216
* energy of formation: -0.61 eV per atom
* V: 25.04 Å³ per atom
* E_tot: -22.87 eV per cell

Lattice parameters (Å, degrees): 4.7361 4.7361 4.7361 60.00 60.00 60.00
Fractional coordinates of all 3 atoms:
Y: 0.0000 0.0000 0.0000
Zr: 0.5000 0.5000 0.5000
Pt: 0.2500 0.2500 0.2500

Here is Ta2GaGe2 after structural relaxation from Alexandria. Energies are from PBE.

* relative energy among the computed polymorphs: 317 meV/atom
* crystal system: tetragonal
* symmetry: No. 139
* energy of formation: 0.24 eV per atom
* V: 19.79 Å³ per atom
* E_tot: -34.79 eV per cell

Lattice parameters (Å, degrees): 6.3071 6.3071 6.3071 140.91 140.91 56.47
Fractional coordinates of all 5 atoms:
Ta: 0.2500 0.7500 0.5000
Ta: 0.7500 0.2500 0.5000
Ga: 0.0000 0.0000 0.0000
Ge: 0.3921 0.3921 0.0000
Ge: 0.6079 0.6079 0.0000

Here is SiHIrRu after structural relaxation from Alexandria. Energies are from PBE.

* crystal system: cubic
* symmetry: No. 216
* V: 11.40 Å³ per atom
* E_tot: -26.70 eV per cell

Lattice parameters (Å, degrees): 4.0098 4.0098 4.0098 60.00 60.00 60.00
Fractional coordinates of all 4 atoms:
Si: 0.0000 0.0000 0.0000
H: 0.5000 0.5000 0.5000
Ir: 0.7500 0.7500 0.7500
Ru: 0.2500 0.2500 0.2500

Here is Si2TeRhN after structural relaxation from Alexandria. Energies are from PBE.

* formation energy (no corrections): 1.24 eV per atom
* crystal system: tetragonal
* symmetry: No. 123
* V: 21.55 Å³ per atom
* E_tot: -23.45 eV per cell

Lattice parameters (Å, degrees): 4.4131 4.4131 5.5336 90.00 90.00 90.00
Fractional coordinates of all 5 atoms:
Si: 0.0000 0.5000 0.0000
Si: 0.5000 0.0000 0.0000
Te: 0.0000 0.0000 0.5000
Rh: 0.0000 0.0000 0.0000
N: 0.5000 0.5000 0.5000

Here is FeTc2H2 after structural relaxation from Alexandria. Energies are from PBE.

* relative energy among the computed polymorphs: 0 meV/atom
* crystal system: tetragonal
* symmetry: No. 139
* V: 9.35 Å³ per atom
* E_tot: -35.22 eV per cell

Lattice parameters (Å, degrees): 5.6272 5.6272 5.6272 149.13 149.13 44.21
Fractional coordinates of all 5 atoms:
Fe: 0.0000 0.0000 0.0000
Tc: 0.3599 0.3599 0.0000
Tc: 0.6401 0.6401 0.0000
H: 0.2500 0.7500 0.5000
H: 0.7500 0.2500 0.5000

Here is Pr3PtO after structural relaxation from Alexandria. Energies are from PBE.

* formation energy (no corrections): -1.38 eV per atom
* crystal system: monoclinic
* symmetry: No. 15
* V: 25.60 Å³ per atom
* E_tot: -128.96 eV per cell

Lattice parameters (Å, degrees): 8.7534 8.7534 6.9674 98.35 98.35 77.41
Fractional coordinates of all 20 atoms:
Pr: 0.0204 0.1866 0.4520
Pr: 0.1356 0.6538 0.0440
Pr: 0.1866 0.0204 0.9520
Pr: 0.2955 0.4642 0.6047
Pr: 0.3462 0.8644 0.4560
Pr: 0.4642 0.2955 0.1047
Pr: 0.5358 0.7045 0.8953
Pr: 0.6538 0.1356 0.5440
Pr: 0.7045 0.5358 0.3953
Pr: 0.8134 0.9796 0.0480
Pr: 0.8644 0.3462 0.9560
Pr: 0.9796 0.8134 0.5480
Pt: 0.1359 0.3814 0.2309
Pt: 0.3814 0.1359 0.7309
Pt: 0.6186 0.8641 0.2691
Pt: 0.8641 0.6186 0.7691
O: 0.0835 0.9165 0.2500
O: 0.2501 0.7499 0.7500
O: 0.7499 0.2501 0.2500
O: 0.9165 0.0835 0.7500

Here is TeSeF2 after structural relaxation from Alexandria. Energies are from PBE.

* relative energy among the computed polymorphs: 0 meV/atom
* formation energy (no corrections): -1.16 eV per atom
* crystal system: triclinic
* symmetry: No. 1
* V: 28.37 Å³ per atom
* E_tot: -15.01 eV per cell

Lattice parameters (Å, degrees): 4.6093 4.7752 5.9591 106.48 94.61 112.53
Fractional coordinates of all 4 atoms:
Te: 0.0000 0.0000 0.0000
Se: 0.1542 0.2593 0.4133
F: 0.3588 0.8744 0.9280
F: 0.7600 0.5420 0.9598

Here is Ca2YTeO6 after structural relaxation from Alexandria. Energies are from PBE.

* formation energy (no corrections): -2.30 eV per atom
* crystal system: tetragonal
* symmetry: No. 99
* V: 15.78 Å³ per atom
* E_tot: -66.32 eV per cell

Lattice parameters (Å, degrees): 5.8518 5.8518 4.6068 90.00 90.00 90.00
Fractional coordinates of all 10 atoms:
Ca: 0.0000 0.5000 0.0000
Ca: 0.5000 0.0000 0.0000
Y: 0.0000 0.0000 0.6047
Te: 0.5000 0.5000 0.6272
O: 0.0000 0.0000 0.1430
O: 0.2619 0.2619 0.7243
O: 0.2619 0.7381 0.7243
O: 0.5000 0.5000 0.2066
O: 0.7381 0.2619 0.7243
O: 0.7381 0.7381 0.7243

| no. | N(E_F) (states/eV/f.u.) |
| --- | --- |
| 1 | 3.3 |
| 2 | 1.8 |
| 3 | 5.0 |
| 4 | 2.6 |
| 5 | 3.0 |
| 6 | 3.9 |
| 7 | 0.0 |
| 8 | 2.5 |